No. 1
VASP calculation (PBE-GGA) on a relaxed Ac2UGeRh6 crystal.

Cell: 6.847 6.822 6.848 Å, 60.06 57.56 89.87°
Positions (direct):
Ac 0.353 0.782 0.435
Ac 0.647 0.218 0.565
U 0.500 0.500 0.000
Ge 0.000 0.000 0.000
Rh 0.150 0.658 0.093
Rh 0.849 0.742 0.916
Rh 0.125 0.240 0.511
Rh 0.850 0.342 0.907
Rh 0.151 0.258 0.084
Rh 0.875 0.760 0.489

Magnetic moment in μB per cell: 0.00
Space group: P-1
Density in Mg/m³: 10.5
Energy of formation in eV/f.u.: -5.84



No. 2
VASP calculation (PBE-GGA) on a relaxed Sr2BeF crystal.

Cell: 7.237 7.237 6.687 Å, 57.24 57.24 90.00°
Positions (direct):
Sr 0.686 0.125 0.250
Sr 0.064 0.625 0.250
Sr 0.375 0.314 0.750
Sr 0.875 0.936 0.750
Be 0.500 0.500 0.000
Be 0.250 0.750 0.500
F 0.000 0.000 0.000
F 0.750 0.250 0.500

Energy relative to the elements, uncorrected in eV per atom: -0.995
Energy above the lowest structure with this stoichiometry in eV per formula unit: 0.000
Magnetic moment in μB per cell: 0.00
Space group: I-42d
Density in Mg/m³: 3.0



No. 3
VASP calculation (PBE-GGA) on a relaxed Cs3Cd7 crystal.

Cell: 6.779 8.102 7.732 Å, 90.00 90.00 114.73°
Positions (direct):
Cs 0.334 0.668 0.500
Cs 0.666 0.332 0.500
Cs 0.500 0.000 0.000
Cd 0.110 0.220 0.807
Cd 0.890 0.780 0.193
Cd 0.890 0.780 0.807
Cd 0.110 0.220 0.193
Cd 0.500 0.500 0.000
Cd 0.000 0.500 0.000
Cd 0.000 0.000 0.500

Magnetic moment in μB per cell: 0.00
Space group: Cmmm
Density in Mg/m³: 5.1
Energy of formation in eV/f.u.: -0.57



No. 4
VASP calculation (PBE-GGA) on a relaxed Y3TlIr2 crystal.

Cell: 3.407 3.407 11.952 Å, 90.00 90.00 90.00°
Positions (direct):
Y 0.000 0.000 0.000
Y 0.000 0.000 0.710
Y 0.000 0.000 0.290
Tl 0.500 0.500 0.500
Ir 0.500 0.500 0.849
Ir 0.500 0.500 0.151

Magnetic moment in μB per cell: 0.00
Space group: P4/mmm
Density in Mg/m³: 10.2
Energy of formation in eV/f.u.: -3.94



No. 5
VASP calculation (PBE-GGA) on a relaxed Pu2Zn3CdAu4 crystal.

Cell: 4.243 4.243 11.752 Å, 90.00 90.00 90.00°
Each line ends with the local moment (μB).
Positions (direct):
Pu 0.500 0.000 0.240  5.40
Pu 0.000 0.500 0.760  5.40
Zn 0.000 0.000 0.500  -0.01
Zn 0.500 0.000 0.869  0.01
Zn 0.000 0.500 0.131  0.01
Cd 0.500 0.500 0.500  -0.01
Au 0.500 0.500 0.000  0.01
Au 0.000 0.000 0.000  0.01
Au 0.500 0.000 0.655  -0.01
Au 0.000 0.500 0.345  -0.01

Magnetic moment in μB per cell: 11.35
Space group: P-4m2
Density in Mg/m³: 12.4
Energy of formation in eV/f.u.: -2.79



No. 6
VASP calculation (PBE-GGA) on a relaxed PaTlPd crystal.

Cell: 4.735 4.735 4.735 Å, 60.00 60.00 60.00°
Positions (direct):
Tl 0.500 0.500 0.500
Pa 0.000 0.000 0.000
Pd 0.250 0.250 0.250

Energy above the lowest structure with this stoichiometry in eV per formula unit: 0.083
Magnetic moment in μB per cell: 0.00
Space group: F-43m
Density in Mg/m³: 12.0
Energy of formation in eV/f.u.: -0.56